[1]
CsRb2Pb3: relaxed, GGA-PBE.

a = 8.621 Å, b = 8.651 Å, c = 13.816 Å
α = 90.00°, β = 107.69°, γ = 90.00°
Space group C2/c (No. 15)
Asymmetric unit:
Cs: 0.000 0.122 0.250 x4
Rb: 0.166 0.374 0.083 x8
Pb: 0.000 0.376 0.750 x4
Pb: 0.166 0.127 0.580 x8

Properties
DOS at the Fermi energy: 12.4 states/eV/cell
Formation energy: -0.34 eV/f.u.
Calculated density: 6.3 Mg/m³
M_tot: 0.00 μB per cell

[2]
Cs2Rb2Pb15: relaxed, GGA-PBE.

a = 11.9659 Å, b = 11.9659 Å, c = 16.9293 Å
α = 90.00°, β = 90.00°, γ = 120.00°
Space group R-3m (No. 166, hexagonal axes)
Asymmetric unit:
Cs: 0.0000 0.0000 0.1541 x6
Rb: 0.0000 0.0000 0.3977 x6
Pb: 0.0000 0.3074 0.5000 x18
Pb: 0.0000 0.5000 0.0000 x9
Pb: 0.0099 0.5049 0.6540 x18

Properties
DOS at the Fermi energy: 26.5 states/eV/cell
Formation energy: -1.25 eV/f.u.
Calculated density: 8.4 Mg/m³
M_tot: 0.00 μB per cell

[3]
CsRb2Pb2: relaxed, GGA-PBE.

a = 10.516 Å, b = 10.516 Å, c = 4.649 Å
α = 90.00°, β = 90.00°, γ = 90.00°
Space group P4/mbm (No. 127)
Asymmetric unit:
Cs: 0.000 0.000 0.000 x2
Rb: 0.185 0.315 0.500 x4
Pb: 0.102 0.602 0.000 x4

Properties
DOS at the Fermi energy: 8.2 states/eV/cell
Formation energy: -0.18 eV/f.u.
Calculated density: 4.6 Mg/m³
E above lowest polymorph: 0.070 eV per atom
M_tot: 0.00 μB per cell

[4]
Cs2Rb3Pb2: relaxed, GGA-PBE.

a = 14.776 Å, b = 6.762 Å, c = 9.963 Å
α = 90.00°, β = 119.14°, γ = 90.00°
Space group C2/m (No. 12)
Asymmetric unit:
Cs: 0.160 0.000 0.305 x4
Rb: 0.000 0.500 0.500 x2
Rb: 0.148 0.500 0.960 x4
Pb: 0.101 0.000 0.668 x4

Properties
DOS at the Fermi energy: 13.0 states/eV/cell
Formation energy: -0.31 eV/f.u.
Calculated density: 3.6 Mg/m³
M_tot: 2.12 μB per cell

[5]
Cs6Rb8Pb: relaxed, GGA-PBE.

a = 13.7472 Å, b = 13.7472 Å, c = 25.7476 Å
α = 90.00°, β = 90.00°, γ = 120.00°
Space group R-3 (No. 148, hexagonal axes)
Asymmetric unit:
Cs: 0.0302 0.2398 0.4125 x18
Rb: 0.0000 0.0000 0.2423 x6
Rb: 0.0492 0.2344 0.9147 x18
Pb: 0.0000 0.0000 0.0000 x3

Properties
DOS at the Fermi energy: 41.5 states/eV/cell
Formation energy: 0.00 eV/f.u.
Calculated density: 2.0 Mg/m³
M_tot: 0.00 μB per cell

[6]
CsRb2Pb2: relaxed, GGA-PBE.

a = 12.827 Å, b = 6.396 Å, c = 12.711 Å
α = 90.00°, β = 97.42°, γ = 90.00°
Space group C2/c (No. 15)
Asymmetric unit:
Cs: 0.000 0.250 0.250 x4
Rb: 0.145 0.250 0.609 x8
Pb: 0.162 0.250 0.918 x8

Properties
DOS at the Fermi energy: 19.2 states/eV/cell
Formation energy: -0.53 eV/f.u.
Calculated density: 4.6 Mg/m³
E above lowest polymorph: 0.000 eV per atom
M_tot: 0.00 μB per cell

[7]
Cs5Rb2Pb2: relaxed, GGA-PBE.

a = 27.084 Å, b = 10.189 Å, c = 10.185 Å
α = 90.00°, β = 90.00°, γ = 90.00°
Space group Cmce (No. 64)
Asymmetric unit:
Cs: 0.000 0.000 0.000 x4
Cs: 0.102 0.184 0.316 x16
Rb: 0.237 0.000 0.000 x8
Pb: 0.000 0.103 0.602 x8

Properties
DOS at the Fermi energy: 36.9 states/eV/cell
Formation energy: -0.49 eV/f.u.
Calculated density: 3.0 Mg/m³
M_tot: 4.36 μB per cell

[8]
CsRbPb2: relaxed, GGA-PBE.

a = 7.607 Å, b = 8.638 Å, c = 11.745 Å
α = 90.00°, β = 90.00°, γ = 90.00°
Space group Pnma (No. 62)
Asymmetric unit:
Cs: 0.002 0.250 0.214 x4
Rb: 0.152 0.750 0.136 x4
Pb: 0.162 0.577 0.447 x8

Properties
DOS at the Fermi energy: 8.4 states/eV/cell
Formation energy: -0.51 eV/f.u.
Calculated density: 5.4 Mg/m³
E above lowest polymorph: 0.000 eV per atom
M_tot: 0.00 μB per cell

[9]
CsRbPb6: relaxed, GGA-PBE.

a = 5.772 Å, b = 8.097 Å, c = 13.892 Å
α = 90.00°, β = 90.00°, γ = 90.00°
Space group Amm2 (No. 38)
Asymmetric unit:
Cs: 0.000 0.000 0.000 x2
Rb: 0.500 0.000 0.670 x2
Pb: 0.000 0.000 0.469 x2
Pb: 0.000 0.198 0.268 x4
Pb: 0.500 0.000 0.201 x2
Pb: 0.500 0.198 0.402 x4

Properties
DOS at the Fermi energy: 7.1 states/eV/cell
Formation energy: -0.78 eV/f.u.
Calculated density: 7.5 Mg/m³
M_tot: 0.00 μB per cell

[10]
CsRbPb2: relaxed, GGA-PBE.

a = 10.797 Å, b = 10.797 Å, c = 6.646 Å
α = 90.00°, β = 90.00°, γ = 90.00°
Space group I-42d (No. 122)
Asymmetric unit:
Cs: 0.000 0.000 0.000 x4
Rb: 0.000 0.000 0.500 x4
Pb: 0.241 0.250 0.625 x8

Properties
DOS at the Fermi energy: 4.2 states/eV/cell
Formation energy: 0.77 eV/f.u.
Calculated density: 5.4 Mg/m³
E above lowest polymorph: 0.321 eV per atom
M_tot: 0.00 μB per cell

[11]
CsRbPb: relaxed, GGA-PBE.

a = 6.743 Å, b = 4.836 Å, c = 11.618 Å
α = 90.00°, β = 106.85°, γ = 90.00°
Space group P2_1/m (No. 11)
Asymmetric unit:
Cs: 0.078 0.250 0.156 x2
Rb: 0.315 0.750 0.631 x2
Pb: 0.456 0.250 0.915 x2

Properties
DOS at the Fermi energy: 4.6 states/eV/cell
Formation energy: -0.28 eV/f.u.
Calculated density: 3.9 Mg/m³
E above lowest polymorph: 0.001 eV per atom
M_tot: 0.00 μB per cell

[12]
CsRb2Pb2: relaxed, GGA-PBE.

a = 6.180 Å, b = 6.180 Å, c = 14.838 Å
α = 90.00°, β = 90.00°, γ = 90.00°
Space group I4/mmm (No. 139)
Asymmetric unit:
Cs: 0.000 0.000 0.000 x2
Rb: 0.000 0.500 0.250 x4
Pb: 0.000 0.000 0.405 x4

Properties
DOS at the Fermi energy: 8.6 states/eV/cell
Formation energy: -0.35 eV/f.u.
Calculated density: 4.2 Mg/m³
E above lowest polymorph: 0.036 eV per atom
M_tot: 0.00 μB per cell